VASP calculation (PBE) on a relaxed structure of LiSm2TmTl4. Values from VASP.

Results
SG = R-3m, No. 166
total magnetization = 0.00 μB/f.u.
density of states at the Fermi level = 0.608 states/eV/atom

```
&SYSTEM
  ibrav = 0, nat = 8, ntyp = 4
/
ATOMIC_SPECIES
Li 6.94 Li.upf
Tm 168.93 Tm.upf
Sm 150.36 Sm.upf
Tl 204.38 Tl.upf
ATOMIC_POSITIONS crystal
Li 0.500 0.500 0.500
Tm 0.000 0.000 0.000
Sm 0.245 0.245 0.266
Sm 0.755 0.755 0.734
Tl 0.624 0.624 0.127
Tl 0.126 0.126 0.622
Tl 0.874 0.874 0.378
Tl 0.376 0.376 0.873
CELL_PARAMETERS angstrom
5.273 0.000 0.000
2.636 4.566 0.000
2.636 1.522 8.896
```

***

VASP calculation (PBE) on a relaxed structure of LiSmYTl. Values from VASP.

Results
SG = F-43m, No. 216
total magnetization = 0.00 μB/f.u.
density of states at the Fermi level = 0.975 states/eV/atom

```
&SYSTEM
  ibrav = 0, nat = 4, ntyp = 4
/
ATOMIC_SPECIES
Tl 204.38 Tl.upf
Sm 150.36 Sm.upf
Y 88.91 Y.upf
Li 6.94 Li.upf
ATOMIC_POSITIONS crystal
Tl 0.500 0.500 0.500
Sm 0.250 0.250 0.250
Y 0.750 0.750 0.750
Li 0.000 0.000 0.000
CELL_PARAMETERS angstrom
5.345 0.000 0.000
2.673 4.629 0.000
2.673 1.543 4.364
```

***

VASP calculation (PBE) on a relaxed structure of LiSm2YTl4. Values from VASP.

Results
SG = R-3m, No. 166
total magnetization = 0.00 μB/f.u.
density of states at the Fermi level = 0.578 states/eV/atom

```
&SYSTEM
  ibrav = 0, nat = 8, ntyp = 4
/
ATOMIC_SPECIES
Tl 204.38 Tl.upf
Y 88.91 Y.upf
Sm 150.36 Sm.upf
Li 6.94 Li.upf
ATOMIC_POSITIONS crystal
Tl 0.874 0.874 0.379
Y 0.000 0.000 0.000
Sm 0.755 0.755 0.734
Tl 0.624 0.624 0.128
Li 0.500 0.500 0.500
Sm 0.245 0.245 0.266
Tl 0.376 0.376 0.872
Tl 0.126 0.126 0.621
CELL_PARAMETERS angstrom
-3.259 -0.646 -4.111
-3.393 -4.053 -0.072
-8.357 3.501 2.678
```

***

VASP calculation (PBE) on a relaxed structure of Li2Sm2YTl2. Values from VASP.

Results
SG = R-3m, No. 166
total magnetization = 0.00 μB/f.u.
density of states at the Fermi level = 0.778 states/eV/atom

```
&SYSTEM
  ibrav = 0, nat = 7, ntyp = 4
/
ATOMIC_SPECIES
Li 6.94 Li.upf
Tl 204.38 Tl.upf
Y 88.91 Y.upf
Sm 150.36 Sm.upf
ATOMIC_POSITIONS crystal
Li 0.607 0.607 0.179
Tl 0.735 0.735 0.794
Tl 0.265 0.265 0.206
Y 0.000 0.000 0.000
Li 0.393 0.393 0.821
Sm 0.127 0.127 0.620
Sm 0.873 0.873 0.380
CELL_PARAMETERS angstrom
-3.590 -1.652 -2.796
-3.590 -2.596 1.952
-7.096 6.230 1.238
```

***

VASP calculation (PBE) on a relaxed structure of Li2SmY2Tl2. Values from VASP.

Results
SG = R-3m, No. 166
total magnetization = 0.00 μB/f.u.
density of states at the Fermi level = 0.752 states/eV/atom

```
&SYSTEM
  ibrav = 0, nat = 7, ntyp = 4
/
ATOMIC_SPECIES
Y 88.91 Y.upf
Tl 204.38 Tl.upf
Li 6.94 Li.upf
Sm 150.36 Sm.upf
ATOMIC_POSITIONS crystal
Y 0.873 0.873 0.382
Tl 0.261 0.261 0.218
Y 0.127 0.127 0.618
Li 0.600 0.600 0.201
Li 0.400 0.400 0.799
Tl 0.739 0.739 0.782
Sm 0.000 0.000 0.000
CELL_PARAMETERS angstrom
4.848 0.000 0.000
2.424 4.199 0.000
2.424 1.400 9.051
```

***

VASP calculation (PBE) on a relaxed structure of LiSmTlZn. Values from VASP.

Results
SG = F-43m, No. 216
total magnetization = 0.00 μB/f.u.
density of states at the Fermi level = 0.548 states/eV/atom

```
&SYSTEM
  ibrav = 0, nat = 4, ntyp = 4
/
ATOMIC_SPECIES
Sm 150.36 Sm.upf
Li 6.94 Li.upf
Tl 204.38 Tl.upf
Zn 65.41 Zn.upf
ATOMIC_POSITIONS crystal
Sm 0.750 0.750 0.750
Li 0.250 0.250 0.250
Tl 0.500 0.500 0.500
Zn 0.000 0.000 0.000
CELL_PARAMETERS angstrom
-2.882 1.750 3.763
0.026 -2.317 4.489
2.141 2.243 3.988
```

***

VASP calculation (PBE) on a relaxed structure of Li2SmTm. Values from VASP.

Results
SG = P4/mmm, No. 123
total magnetization = 0.00 μB/f.u.
density of states at the Fermi level = 0.990 states/eV/atom
energy relative to the lowest polymorph listed for this composition = 0.0 meV/atom

```
&SYSTEM
  ibrav = 0, nat = 4, ntyp = 3
/
ATOMIC_SPECIES
Tm 168.93 Tm.upf
Sm 150.36 Sm.upf
Li 6.94 Li.upf
ATOMIC_POSITIONS crystal
Tm 0.500 0.500 0.000
Sm 0.500 0.500 0.500
Li 0.000 0.000 0.244
Li 0.000 0.000 0.756
CELL_PARAMETERS angstrom
-2.808 -2.143 1.131
0.104 -1.836 -3.221
4.879 -4.850 2.923
```

***

VASP calculation (PBE) on a relaxed structure of Li4SmTm. Values from VASP.

Results
SG = F-43m, No. 216
total magnetization = 0.00 μB/f.u.
density of states at the Fermi level = 1.031 states/eV/atom

```
&SYSTEM
  ibrav = 0, nat = 6, ntyp = 3
/
ATOMIC_SPECIES
Li 6.94 Li.upf
Sm 150.36 Sm.upf
Tm 168.93 Tm.upf
ATOMIC_POSITIONS crystal
Li 0.625 0.124 0.625
Sm 0.250 0.250 0.250
Li 0.625 0.625 0.124
Li 0.625 0.625 0.625
Li 0.124 0.625 0.625
Tm 0.000 0.000 0.000
CELL_PARAMETERS angstrom
5.845 0.000 0.000
2.922 5.062 0.000
2.922 1.687 4.772
```

***

no.,total DFT energy (no corrections) (eV/atom)
1,-3.491
2,-4.083
3,-3.762
4,-3.691
5,-3.942
6,-2.857
7,-3.100
8,-2.691